First-principles (PBE) data for CaAs2SeI after structural relaxation, as listed in Alexandria.

Properties
- offset from the most stable computed form (meV per atom) = 135
- Fermi-level density of states (states/eV per cell) = 7.485
- raw formation energy (eV/atom) = 0.534
- energy (eV/atom) = -2.734

Lattice parameters (Å, degrees): 5.6317 5.6317 5.2515 90.00 90.00 90.00
Closest atoms and distances in Å follow each position.
Space group P4/mmm (No. 123)
Inequivalent atoms, fractional coordinates:
Ca (0.0000, 0.0000, 0.0000) [1 per cell]  2 Se 2.63, 4 As 2.82
As (0.0000, 0.5000, 0.0000) [2 per cell]  2 Ca 2.82
Se (0.0000, 0.0000, 0.5000) [1 per cell]  2 Ca 2.63
I (0.5000, 0.5000, 0.5000) [1 per cell]  8 As 3.85, 4 Se 3.98

***

First-principles (PBE) data for Ca6As2SeI3 after structural relaxation, as listed in Alexandria.

Properties
- Fermi-level density of states (states/eV per cell) = 7.730
- raw formation energy (eV/atom) = -1.451
- energy (eV/atom) = -3.905

Lattice parameters (Å, degrees): 7.5665 13.1048 7.8332 90.00 108.77 90.00
Closest atoms and distances in Å follow each position.
Space group C2/m (No. 12)
Inequivalent atoms, fractional coordinates:
Ca (0.2255, 0.0000, 0.1979) [4 per cell]  2 As 2.90, 1 Se 2.96
Ca (0.2366, 0.3299, 0.1992) [8 per cell]  2 As 2.90, 1 Se 2.97
As (0.0000, 0.1670, 0.0000) [4 per cell]  6 Ca 2.90
Se (0.0000, 0.5000, 0.0000) [2 per cell]  6 Ca 2.96-2.97
I (0.0000, 0.0000, 0.5000) [2 per cell]  6 Ca 3.33-3.39
I (0.0000, 0.3361, 0.5000) [4 per cell]  6 Ca 3.35-3.39

***

First-principles (PBE) data for CaTeAsI2 after structural relaxation, as listed in Alexandria.

Properties
- offset from the most stable computed form (meV per atom) = 341
- Fermi-level density of states (states/eV per cell) = 3.221
- raw formation energy (eV/atom) = -0.022
- energy (eV/atom) = -2.600

Lattice parameters (Å, degrees): 5.9396 5.9396 6.3960 90.00 90.00 90.00
Closest atoms and distances in Å follow each position.
Space group P4/mmm (No. 123)
Inequivalent atoms, fractional coordinates:
Ca (0.0000, 0.0000, 0.0000) [1 per cell]  4 I 2.97, 2 Te 3.20
Te (0.0000, 0.0000, 0.5000) [1 per cell]  2 Ca 3.20
As (0.5000, 0.5000, 0.5000) [1 per cell]  4 Te 4.20, 8 I 4.36
I (0.0000, 0.5000, 0.0000) [2 per cell]  2 Ca 2.97

***

First-principles (PBE) data for CaTe2AsI after structural relaxation, as listed in Alexandria.

Properties
- offset from the most stable computed form (meV per atom) = 596
- Fermi-level density of states (states/eV per cell) = 7.739
- raw formation energy (eV/atom) = 0.310
- energy (eV/atom) = -2.587

Lattice parameters (Å, degrees): 5.9268 5.9268 5.6903 90.00 90.00 90.00
Closest atoms and distances in Å follow each position.
Space group P4/mmm (No. 123)
Inequivalent atoms, fractional coordinates:
Ca (0.0000, 0.0000, 0.0000) [1 per cell]  2 I 2.85, 4 Te 2.96
Te (0.0000, 0.5000, 0.0000) [2 per cell]  2 Ca 2.96
As (0.5000, 0.5000, 0.5000) [1 per cell]  8 Te 4.11, 4 I 4.19
I (0.0000, 0.0000, 0.5000) [1 per cell]  2 Ca 2.85

***

First-principles (PBE) data for CaTe2AsI after structural relaxation, as listed in Alexandria.

Properties
- offset from the most stable computed form (meV per atom) = 0
- Fermi-level density of states (states/eV per cell) = 3.330
- raw formation energy (eV/atom) = -0.286
- energy (eV/atom) = -3.183

Lattice parameters (Å, degrees): 5.5622 5.5622 5.5658 90.00 90.00 90.00
Closest atoms and distances in Å follow each position.
Space group P4/mmm (No. 123)
Inequivalent atoms, fractional coordinates:
Ca (0.0000, 0.0000, 0.0000) [1 per cell]  4 I 3.93, 8 Te 3.93
Te (0.0000, 0.5000, 0.5000) [2 per cell]  2 As 2.78
As (0.5000, 0.5000, 0.5000) [1 per cell]  4 Te 2.78, 2 I 2.78
I (0.5000, 0.5000, 0.0000) [1 per cell]  2 As 2.78

***

First-principles (PBE) data for Ca4Te2AsI after structural relaxation, as listed in Alexandria.

Properties
- raw formation energy (eV/atom) = -1.473
- energy (eV/atom) = -4.035

Lattice parameters (Å, degrees): 7.7050 4.4778 7.7762 90.00 108.77 90.00
Closest atoms and distances in Å follow each position.
Space group P2/m (No. 10)
Inequivalent atoms, fractional coordinates:
Ca (0.2338, 0.0000, 0.2228) [2 per cell]  2 As 3.04, 3 Te 3.08-3.32, 1 I 3.22
Ca (0.2505, 0.5000, 0.7801) [2 per cell]  1 As 2.96, 2 Te 3.08, 2 I 3.28
Te (0.5000, 0.0000, 0.0000) [1 per cell]  6 Ca 3.08
Te (0.5000, 0.5000, 0.5000) [1 per cell]  6 Ca 3.32-3.34
As (0.0000, 0.5000, 0.0000) [1 per cell]  6 Ca 2.96-3.04
I (0.0000, 0.0000, 0.5000) [1 per cell]  6 Ca 3.22-3.28

***

First-principles (PBE) data for CaTeAsI2 after structural relaxation, as listed in Alexandria.

Properties
- offset from the most stable computed form (meV per atom) = 0
- Fermi-level density of states (states/eV per cell) = 0.480
- raw formation energy (eV/atom) = -0.362
- energy (eV/atom) = -2.941

Lattice parameters (Å, degrees): 5.5578 5.5578 5.8214 90.00 90.00 90.00
Closest atoms and distances in Å follow each position.
Space group P4/mmm (No. 123)
Inequivalent atoms, fractional coordinates:
Ca (0.0000, 0.0000, 0.0000) [1 per cell]  4 Te 3.93, 8 I 4.02
Te (0.5000, 0.5000, 0.0000) [1 per cell]  2 As 2.91
As (0.5000, 0.5000, 0.5000) [1 per cell]  4 I 2.78, 2 Te 2.91
I (0.0000, 0.5000, 0.5000) [2 per cell]  2 As 2.78

***

First-principles (PBE) data for CaZn2AsI after structural relaxation, as listed in Alexandria.

Properties
- Fermi-level density of states (states/eV per cell) = 1.502
- raw formation energy (eV/atom) = 0.469
- energy (eV/atom) = -1.680

Lattice parameters (Å, degrees): 5.3231 5.3231 5.6735 90.00 90.00 90.00
Closest atoms and distances in Å follow each position.
Space group P4/mmm (No. 123)
Inequivalent atoms, fractional coordinates:
Ca (0.0000, 0.0000, 0.0000) [1 per cell]  4 As 3.76, 8 Zn 3.89
Zn (0.0000, 0.5000, 0.5000) [2 per cell]  2 I 2.66
As (0.5000, 0.5000, 0.0000) [1 per cell]  2 I 2.84
I (0.5000, 0.5000, 0.5000) [1 per cell]  4 Zn 2.66, 2 As 2.84

***

First-principles (PBE) data for Ca2ZrAsI after structural relaxation, as listed in Alexandria.

Properties
- Fermi-level density of states (states/eV per cell) = 4.933
- raw formation energy (eV/atom) = 0.281
- energy (eV/atom) = -3.469

Lattice parameters (Å, degrees): 5.5539 5.5539 5.9915 90.00 90.00 90.00
Closest atoms and distances in Å follow each position.
Space group P4/mmm (No. 123)
Inequivalent atoms, fractional coordinates:
Ca (0.0000, 0.5000, 0.0000) [2 per cell]  2 As 2.78
Zr (0.0000, 0.0000, 0.5000) [1 per cell]  4 I 3.93, 8 Ca 4.08
As (0.5000, 0.5000, 0.0000) [1 per cell]  4 Ca 2.78, 2 I 3.00
I (0.5000, 0.5000, 0.5000) [1 per cell]  2 As 3.00

***

First-principles (PBE) data for CaInAs after structural relaxation, as listed in Alexandria.

Properties
- Fermi-level density of states (states/eV per cell) = 10.112
- energy (eV/atom) = -3.571

Lattice parameters (Å, degrees): 7.1444 7.1444 7.1444 90.00 90.00 90.00
Closest atoms and distances in Å follow each position.
Space group F-43m (No. 216)
Inequivalent atoms, fractional coordinates:
Ca (0.0000, 0.0000, 0.0000) [4 per cell]  4 As 3.09
In (0.0000, 0.0000, 0.5000) [4 per cell]  4 As 3.09
As (0.2500, 0.2500, 0.7500) [4 per cell]  4 In 3.09, 4 Ca 3.09

***

First-principles (PBE) data for CaIn2As after structural relaxation, as listed in Alexandria.

Properties
- Fermi-level density of states (states/eV per cell) = 1.669
- energy (eV/atom) = -3.382

Lattice parameters (Å, degrees): 3.9075 3.9075 6.6593 90.00 90.00 90.00
Closest atoms and distances in Å follow each position.
Space group P4mm (No. 99)
Inequivalent atoms, fractional coordinates:
Ca (0.0000, 0.0000, 0.0000) [1 per cell]  5 In 3.10-3.42, 4 As 3.22
In (0.0000, 0.0000, 0.5340) [1 per cell]  1 Ca 3.10, 4 As 3.12, 4 In 3.17
In (0.5000, 0.5000, 0.3021) [1 per cell]  1 As 2.99, 4 In 3.17
As (0.5000, 0.5000, 0.7504) [1 per cell]  5 In 2.99-3.12, 4 Ca 3.22

***

First-principles (PBE) data for Ca3InAs after structural relaxation, as listed in Alexandria.

Properties
- offset from the most stable computed form (meV per atom) = 0
- Fermi-level density of states (states/eV per cell) = 4.153
- energy (eV/atom) = -3.269

Lattice parameters (Å, degrees): 5.5860 5.5860 5.5860 90.00 90.00 90.00
Closest atoms and distances in Å follow each position.
Space group Pm-3m (No. 221)
Inequivalent atoms, fractional coordinates:
Ca (0.0000, 0.0000, 0.5000) [3 per cell]  2 As 2.79
In (0.5000, 0.5000, 0.5000) [1 per cell]  12 Ca 3.95
As (0.0000, 0.0000, 0.0000) [1 per cell]  6 Ca 2.79